# Ag5S3 | Alexandria | PBE | optimized geometry
# E_form (uncorrected) = 57 kJ/mol of formula units
# distance to the lowest polymorph of the same formula = 29 meV/atom
data_Ag5S3
_symmetry_space_group_name_H-M 'P 63/m c m'
_symmetry_Int_Tables_number 193
_symmetry_space_group_name_Hall '-P 6c 2'
_cell_length_a 7.2545
_cell_length_b 7.2545
_cell_length_c 6.8923
_cell_angle_alpha 90.00
_cell_angle_beta 90.00
_cell_angle_gamma 120.00
loop_
_atom_site_label
_atom_site_fract_x
_atom_site_fract_y
_atom_site_fract_z
Ag1 0.0000 0.2315 0.2500
Ag2 0.3333 0.6667 0.0000
S1 0.0000 0.3921 0.7500

# Ag2S | Alexandria | PBE | optimized geometry
# E_form (uncorrected) = -13 kJ/mol of formula units
data_Ag2S
_symmetry_space_group_name_H-M 'P 1 21 1'
_symmetry_Int_Tables_number 4
_cell_length_a 4.143
_cell_length_b 5.892
_cell_length_c 5.895
_cell_angle_alpha 90.00
_cell_angle_beta 92.76
_cell_angle_gamma 90.00
loop_
_symmetry_equiv_pos_as_xyz
'x,y,z'
'-x,y+1/2,-z'
loop_
_atom_site_label
_atom_site_fract_x
_atom_site_fract_y
_atom_site_fract_z
Ag1 0.000 0.000 0.000
Ag2 0.003 0.001 0.501
S1 0.311 0.749 0.259

# Ag2S | Alexandria | PBE | optimized geometry
# E_form (uncorrected) = 8 kJ/mol of formula units
data_Ag2S
_symmetry_space_group_name_H-M 'F m -3 m'
_symmetry_Int_Tables_number 225
_symmetry_space_group_name_Hall '-F 4 2 3'
_cell_length_a 6.233
_cell_length_b 6.233
_cell_length_c 6.233
_cell_angle_alpha 90.00
_cell_angle_beta 90.00
_cell_angle_gamma 90.00
loop_
_atom_site_label
_atom_site_fract_x
_atom_site_fract_y
_atom_site_fract_z
Ag1 0.250 0.250 0.250
S1 0.000 0.000 0.000

# Ag2S | Alexandria | PBE | optimized geometry
# E_form (uncorrected) = -6 kJ/mol of formula units
data_Ag2S
_symmetry_space_group_name_H-M 'P 1 m 1'
_symmetry_Int_Tables_number 6
_cell_length_a 4.212
_cell_length_b 8.354
_cell_length_c 4.525
_cell_angle_alpha 90.00
_cell_angle_beta 117.64
_cell_angle_gamma 90.00
loop_
_symmetry_equiv_pos_as_xyz
'x,y,z'
'x,-y,z'
loop_
_atom_site_label
_atom_site_fract_x
_atom_site_fract_y
_atom_site_fract_z
Ag1 0.000 0.000 0.000
Ag2 0.000 0.250 0.536
Ag3 0.462 0.500 0.003
S1 0.315 0.000 0.615
S2 0.765 0.500 0.619

# AgS8 | Alexandria | PBE | optimized geometry
# E_form (uncorrected) = 380 kJ/mol of formula units
data_AgS8
_symmetry_space_group_name_H-M 'I 4/m m m'
_symmetry_Int_Tables_number 139
_symmetry_space_group_name_Hall '-I 4 2'
_cell_length_a 7.309
_cell_length_b 7.309
_cell_length_c 8.141
_cell_angle_alpha 90.00
_cell_angle_beta 90.00
_cell_angle_gamma 90.00
loop_
_atom_site_label
_atom_site_fract_x
_atom_site_fract_y
_atom_site_fract_z
Ag1 0.000 0.000 0.000
S1 0.000 0.356 0.000
S2 0.150 0.150 0.500

# Ag2S | Alexandria | PBE | optimized geometry
# E_form (uncorrected) = -4 kJ/mol of formula units
data_Ag2S
_symmetry_space_group_name_H-M 'P 1 c 1'
_symmetry_Int_Tables_number 7
_cell_length_a 4.640
_cell_length_b 8.413
_cell_length_c 7.933
_cell_angle_alpha 90.00
_cell_angle_beta 124.74
_cell_angle_gamma 90.00
loop_
_symmetry_equiv_pos_as_xyz
'x,y,z'
'x,-y,z+1/2'
loop_
_atom_site_label
_atom_site_fract_x
_atom_site_fract_y
_atom_site_fract_z
Ag1 0.000 0.072 0.000
Ag2 0.336 0.294 0.797
Ag3 0.557 0.158 0.553
Ag4 0.774 0.395 0.378
S1 0.416 0.438 0.533
S2 0.612 0.128 0.117

# Ag2S | Alexandria | PBE | optimized geometry
# E_form (uncorrected) = 1 kJ/mol of formula units
data_Ag2S
_symmetry_space_group_name_H-M 'C 1 m 1'
_symmetry_Int_Tables_number 8
_cell_length_a 6.097
_cell_length_b 6.847
_cell_length_c 4.077
_cell_angle_alpha 90.00
_cell_angle_beta 130.74
_cell_angle_gamma 90.00
loop_
_symmetry_equiv_pos_as_xyz
'x,y,z'
'x,-y,z'
'x+1/2,y+1/2,z'
'x+1/2,-y+1/2,z'
loop_
_atom_site_label
_atom_site_fract_x
_atom_site_fract_y
_atom_site_fract_z
Ag1 0.000 0.217 0.000
S1 0.169 0.000 0.643

# Ag8S | Alexandria | PBE | optimized geometry
# E_form (uncorrected) = 230 kJ/mol of formula units
data_Ag8S
_symmetry_space_group_name_H-M 'F -4 3 m'
_symmetry_Int_Tables_number 216
_symmetry_space_group_name_Hall 'F -4 2 3'
_cell_length_a 9.105
_cell_length_b 9.105
_cell_length_c 9.105
_cell_angle_alpha 90.00
_cell_angle_beta 90.00
_cell_angle_gamma 90.00
loop_
_atom_site_label
_atom_site_fract_x
_atom_site_fract_y
_atom_site_fract_z
Ag1 0.104 0.104 0.396
Ag2 0.122 0.122 0.878
S1 0.250 0.250 0.250

# AgS2 | Alexandria | PBE | optimized geometry
# E_form (uncorrected) = 18 kJ/mol of formula units
data_AgS2
_symmetry_space_group_name_H-M 'C 1 2/m 1'
_symmetry_Int_Tables_number 12
_cell_length_a 11.022
_cell_length_b 3.724
_cell_length_c 8.233
_cell_angle_alpha 90.00
_cell_angle_beta 122.64
_cell_angle_gamma 90.00
loop_
_symmetry_equiv_pos_as_xyz
'x,y,z'
'-x,-y,-z'
'-x,y,-z'
'x,-y,z'
'x+1/2,y+1/2,z'
'-x+1/2,-y+1/2,-z'
'-x+1/2,y+1/2,-z'
'x+1/2,-y+1/2,z'
loop_
_atom_site_label
_atom_site_fract_x
_atom_site_fract_y
_atom_site_fract_z
Ag1 0.130 0.000 0.497
S1 0.011 0.500 0.750
S2 0.193 0.500 0.746

# Ag2S | Alexandria | PBE | optimized geometry
# E_form (uncorrected) = -2 kJ/mol of formula units
data_Ag2S
_symmetry_space_group_name_H-M 'P 1'
_symmetry_Int_Tables_number 1
_cell_length_a 4.364
_cell_length_b 4.722
_cell_length_c 5.917
_cell_angle_alpha 89.85
_cell_angle_beta 88.27
_cell_angle_gamma 89.66
loop_
_symmetry_equiv_pos_as_xyz
'x,y,z'
loop_
_atom_site_label
_atom_site_fract_x
_atom_site_fract_y
_atom_site_fract_z
Ag1 0.000 0.000 0.000
Ag2 0.020 0.188 0.503
Ag3 0.623 0.692 0.657
Ag4 0.648 0.501 0.159
S1 0.131 0.693 0.339
S2 0.515 0.196 0.821

# AgS3 | Alexandria | PBE | optimized geometry
# E_form (uncorrected) = 72 kJ/mol of formula units
data_AgS3
_symmetry_space_group_name_H-M 'I m m m'
_symmetry_Int_Tables_number 71
_symmetry_space_group_name_Hall '-I 2 2'
_cell_length_a 4.077
_cell_length_b 5.173
_cell_length_c 16.267
_cell_angle_alpha 90.00
_cell_angle_beta 90.00
_cell_angle_gamma 90.00
loop_
_atom_site_label
_atom_site_fract_x
_atom_site_fract_y
_atom_site_fract_z
Ag1 0.000 0.000 0.188
S1 0.000 0.195 0.358
S2 0.000 0.318 0.000

# Ag2S3 | Alexandria | PBE | optimized geometry
# E_form (uncorrected) = 20 kJ/mol of formula units
data_Ag2S3
_symmetry_space_group_name_H-M 'F d d 2'
_symmetry_Int_Tables_number 43
_symmetry_space_group_name_Hall 'F 2 -2d'
_cell_length_a 12.339
_cell_length_b 16.513
_cell_length_c 4.932
_cell_angle_alpha 90.00
_cell_angle_beta 90.00
_cell_angle_gamma 90.00
loop_
_atom_site_label
_atom_site_fract_x
_atom_site_fract_y
_atom_site_fract_z
Ag1 0.037 0.208 0.000
S1 0.000 0.000 0.269
S2 0.109 0.060 0.015

# Ag2S | Alexandria | PBE | optimized geometry
# E_form (uncorrected) = -13 kJ/mol of formula units
data_Ag2S
_symmetry_space_group_name_H-M 'C m c m'
_symmetry_Int_Tables_number 63
_symmetry_space_group_name_Hall '-C 2c 2'
_cell_length_a 4.673
_cell_length_b 7.259
_cell_length_c 7.726
_cell_angle_alpha 90.00
_cell_angle_beta 90.00
_cell_angle_gamma 90.00
loop_
_atom_site_label
_atom_site_fract_x
_atom_site_fract_y
_atom_site_fract_z
Ag1 0.000 0.000 0.000
Ag2 0.000 0.430 0.250
S1 0.000 0.200 0.750

# AgS2 | Alexandria | PBE | optimized geometry
# E_form (uncorrected) = 68 kJ/mol of formula units
data_AgS2
_symmetry_space_group_name_H-M 'C 1 2/m 1'
_symmetry_Int_Tables_number 12
_cell_length_a 5.818
_cell_length_b 5.151
_cell_length_c 4.686
_cell_angle_alpha 90.00
_cell_angle_beta 109.65
_cell_angle_gamma 90.00
loop_
_symmetry_equiv_pos_as_xyz
'x,y,z'
'-x,-y,-z'
'-x,y,-z'
'x,-y,z'
'x+1/2,y+1/2,z'
'-x+1/2,-y+1/2,-z'
'-x+1/2,y+1/2,-z'
'x+1/2,-y+1/2,z'
loop_
_atom_site_label
_atom_site_fract_x
_atom_site_fract_y
_atom_site_fract_z
Ag1 0.000 0.000 0.000
S1 0.147 0.500 0.198

# Ag7S5 | Alexandria | PBE | optimized geometry
# E_form (uncorrected) = 58 kJ/mol of formula units
data_Ag7S5
_symmetry_space_group_name_H-M 'C 1 2/m 1'
_symmetry_Int_Tables_number 12
_cell_length_a 12.286
_cell_length_b 3.554
_cell_length_c 11.266
_cell_angle_alpha 90.00
_cell_angle_beta 104.35
_cell_angle_gamma 90.00
loop_
_symmetry_equiv_pos_as_xyz
'x,y,z'
'-x,-y,-z'
'-x,y,-z'
'x,-y,z'
'x+1/2,y+1/2,z'
'-x+1/2,-y+1/2,-z'
'-x+1/2,y+1/2,-z'
'x+1/2,-y+1/2,z'
loop_
_atom_site_label
_atom_site_fract_x
_atom_site_fract_y
_atom_site_fract_z
Ag1 0.000 0.000 0.000
Ag2 0.034 0.500 0.279
Ag3 0.154 0.000 0.577
Ag4 0.240 0.000 0.844
S1 0.000 0.500 0.500
S2 0.111 0.500 0.924
S3 0.208 0.000 0.308

# Ag4S | Alexandria | PBE | optimized geometry
# E_form (uncorrected) = 181 kJ/mol of formula units
data_Ag4S
_symmetry_space_group_name_H-M 'P m -3 m'
_symmetry_Int_Tables_number 221
_symmetry_space_group_name_Hall '-P 4 2 3'
_cell_length_a 4.856
_cell_length_b 4.856
_cell_length_c 4.856
_cell_angle_alpha 90.00
_cell_angle_beta 90.00
_cell_angle_gamma 90.00
loop_
_atom_site_label
_atom_site_fract_x
_atom_site_fract_y
_atom_site_fract_z
Ag1 0.000 0.000 0.000
Ag2 0.000 0.500 0.500
S1 0.500 0.500 0.500

# Ag2S13 | Alexandria | PBE | optimized geometry
# E_form (uncorrected) = 831 kJ/mol of formula units
data_Ag2S13
_symmetry_space_group_name_H-M 'R -3 m'
_symmetry_Int_Tables_number 166
_symmetry_space_group_name_Hall '-R 3 2"'
_cell_length_a 6.4194
_cell_length_b 6.4194
_cell_length_c 27.8187
_cell_angle_alpha 90.00
_cell_angle_beta 90.00
_cell_angle_gamma 120.00
loop_
_atom_site_label
_atom_site_fract_x
_atom_site_fract_y
_atom_site_fract_z
Ag1 0.0000 0.0000 0.1401
S1 0.0000 0.0000 0.0000
S2 0.0941 0.5470 0.4295
S3 0.1045 0.5522 0.2853

# Ag5S3 | Alexandria | PBE | optimized geometry
# E_form (uncorrected) = 35 kJ/mol of formula units
# distance to the lowest polymorph of the same formula = 0 meV/atom
data_Ag5S3
_symmetry_space_group_name_H-M 'P n m a'
_symmetry_Int_Tables_number 62
_cell_length_a 12.057
_cell_length_b 7.544
_cell_length_c 6.649
_cell_angle_alpha 90.00
_cell_angle_beta 90.00
_cell_angle_gamma 90.00
loop_
_symmetry_equiv_pos_as_xyz
'x,y,z'
'-x,-y,-z'
'-x+1/2,-y,z+1/2'
'x+1/2,y,-z+1/2'
'x+1/2,-y+1/2,-z+1/2'
'-x+1/2,y+1/2,z+1/2'
'-x,y+1/2,-z'
'x,-y+1/2,z'
loop_
_atom_site_label
_atom_site_fract_x
_atom_site_fract_y
_atom_site_fract_z
Ag1 0.003 0.250 0.016
Ag2 0.099 0.562 0.332
Ag3 0.189 0.250 0.673
Ag4 0.223 0.750 0.710
S1 0.016 0.250 0.433
S2 0.171 0.005 0.982

# Ag2S | Alexandria | PBE | optimized geometry
# E_form (uncorrected) = -4 kJ/mol of formula units
data_Ag2S
_symmetry_space_group_name_H-M 'C 1 2 1'
_symmetry_Int_Tables_number 5
_cell_length_a 7.623
_cell_length_b 5.817
_cell_length_c 6.108
_cell_angle_alpha 90.00
_cell_angle_beta 104.08
_cell_angle_gamma 90.00
loop_
_symmetry_equiv_pos_as_xyz
'x,y,z'
'-x,y,-z'
'x+1/2,y+1/2,z'
'-x+1/2,y+1/2,-z'
loop_
_atom_site_label
_atom_site_fract_x
_atom_site_fract_y
_atom_site_fract_z
Ag1 0.054 0.000 0.277
Ag2 0.190 0.362 0.985
S1 0.233 0.621 0.305

# AgSb6S8 | Alexandria | PBE | optimized geometry
# E_form (uncorrected) = -37 kJ/mol of formula units
data_AgSb6S8
_symmetry_space_group_name_H-M 'R -3'
_symmetry_Int_Tables_number 148
_symmetry_space_group_name_Hall '-R 3'
_cell_length_a 12.6334
_cell_length_b 12.6334
_cell_length_c 11.2595
_cell_angle_alpha 90.00
_cell_angle_beta 90.00
_cell_angle_gamma 120.00
loop_
_atom_site_label
_atom_site_fract_x
_atom_site_fract_y
_atom_site_fract_z
Ag1 0.0000 0.0000 0.0000
Sb1 0.0237 0.1790 0.3720
S1 0.0000 0.0000 0.2115
S2 0.0245 0.7525 0.4035